1.
{
  "formula": "Pu6BiAu5",
  "functional": "GGA-PBE",
  "state": "optimized geometry",
  "magmom_total_mub_per_atom": 1.930,
  "total_energy_ev_per_cell": -110.66,
  "sg": "Cm, No. 8",
  "lattice": [[8.535, -2.555, 0.000], [8.535, 2.555, 0.000], [-3.413, 0.000, 6.853]],
  "species": ["Pu", "Pu", "Pu", "Pu", "Pu", "Pu", "Bi", "Au", "Au", "Au", "Au", "Au"],
  "fractional_positions": [[0.000, 0.000, 0.000], [0.004, 0.004, 0.489], [0.339, 0.339, 0.345], [0.353, 0.353, 0.839], [0.665, 0.665, 0.175], [0.686, 0.686, 0.656], [0.175, 0.175, 0.915], [0.171, 0.171, 0.419], [0.505, 0.505, 0.267], [0.515, 0.515, 0.738], [0.836, 0.836, 0.089], [0.846, 0.846, 0.578]]
}

2.
{
  "formula": "PuBiAu",
  "functional": "GGA-PBE",
  "state": "optimized geometry",
  "magmom_total_mub_per_atom": 2.047,
  "total_energy_ev_per_cell": -22.35,
  "sg": "P-6m2, No. 187",
  "lattice": [[5.113, 0.000, 0.000], [-2.556, 4.428, 0.000], [0.000, 0.000, 3.370]],
  "species": ["Pu", "Bi", "Au"],
  "fractional_positions": [[0.000, 0.000, 0.000], [0.667, 0.333, 0.500], [0.333, 0.667, 0.500]]
}

3.
{
  "formula": "PuBiAu3",
  "functional": "GGA-PBE",
  "state": "optimized geometry",
  "magmom_total_mub_per_atom": 1.100,
  "total_energy_ev_per_cell": -58.82,
  "sg": "Cmcm, No. 63",
  "lattice": [[1.685, -14.284, 0.000], [1.685, 14.284, 0.000], [0.000, 0.000, 4.811]],
  "species": ["Pu", "Pu", "Bi", "Bi", "Au", "Au", "Au", "Au", "Au", "Au"],
  "fractional_positions": [[0.073, 0.927, 0.750], [0.927, 0.073, 0.250], [0.212, 0.788, 0.250], [0.788, 0.212, 0.750], [0.327, 0.673, 0.250], [0.380, 0.620, 0.750], [0.476, 0.524, 0.750], [0.524, 0.476, 0.250], [0.620, 0.380, 0.250], [0.673, 0.327, 0.750]]
}

4.
{
  "formula": "Pu2BiAu",
  "functional": "GGA-PBE",
  "state": "optimized geometry",
  "magmom_total_mub_per_atom": 2.919,
  "sg": "P4/mmm, No. 123",
  "relative_energy_ev_per_atom": 0.029,
  "lattice": [[4.067, 0.000, 0.000], [0.000, 4.067, 0.000], [0.000, 0.000, 6.291]],
  "species": ["Pu", "Pu", "Bi", "Au"],
  "fractional_positions": [[0.000, 0.000, 0.243], [0.000, 0.000, 0.757], [0.500, 0.500, 0.500], [0.500, 0.500, 0.000]]
}

5.
{
  "formula": "Pu2BiAu",
  "functional": "GGA-PBE",
  "state": "optimized geometry",
  "magmom_total_mub_per_atom": 3.000,
  "sg": "Fm-3m, No. 225",
  "relative_energy_ev_per_atom": 0.000,
  "lattice": [[0.000, 3.768, 3.768], [3.768, 0.000, 3.768], [3.768, 3.768, 0.000]],
  "species": ["Pu", "Pu", "Bi", "Au"],
  "fractional_positions": [[0.250, 0.250, 0.250], [0.750, 0.750, 0.750], [0.000, 0.000, 0.000], [0.500, 0.500, 0.500]]
}

6.
{
  "formula": "Pu2BiAu",
  "functional": "GGA-PBE",
  "state": "optimized geometry",
  "magmom_total_mub_per_atom": 0.020,
  "sg": "R3m, No. 160",
  "relative_energy_ev_per_atom": 0.537,
  "lattice": [[1.765, 1.019, 9.117], [-1.765, 1.019, 9.117], [0.000, -2.038, 9.117]],
  "species": ["Pu", "Pu", "Bi", "Au"],
  "fractional_positions": [[0.000, 0.000, 0.000], [0.284, 0.284, 0.284], [0.762, 0.762, 0.762], [0.181, 0.181, 0.181]]
}

7.
{
  "formula": "PuBi3Au8",
  "functional": "GGA-PBE",
  "state": "optimized geometry",
  "magmom_total_mub_per_atom": 0.461,
  "total_energy_ev_per_cell": -53.97,
  "sg": "R3m, No. 160",
  "lattice": [[2.851, 1.646, 9.395], [-2.851, 1.646, 9.395], [0.000, -3.293, 9.395]],
  "species": ["Pu", "Bi", "Bi", "Bi", "Au", "Au", "Au", "Au", "Au", "Au", "Au", "Au"],
  "fractional_positions": [[0.000, 0.000, 0.000], [0.129, 0.129, 0.129], [0.500, 0.500, 0.500], [0.626, 0.626, 0.626], [0.063, 0.063, 0.565], [0.063, 0.563, 0.563], [0.063, 0.565, 0.063], [0.314, 0.314, 0.314], [0.563, 0.063, 0.563], [0.563, 0.563, 0.063], [0.565, 0.063, 0.063], [0.813, 0.813, 0.813]]
}

8.
{
  "formula": "PuBiAu",
  "functional": "GGA-PBE",
  "state": "optimized geometry",
  "magmom_total_mub_per_atom": 1.850,
  "total_energy_ev_per_cell": -22.34,
  "sg": "I4mm, No. 107",
  "lattice": [[-1.839, 1.839, 5.805], [1.839, -1.839, 5.805], [1.839, 1.839, -5.805]],
  "species": ["Pu", "Bi", "Au"],
  "fractional_positions": [[0.000, 0.000, 0.000], [0.695, 0.695, 0.000], [0.360, 0.360, 0.000]]
}

9.
{
  "formula": "PuBiAu4",
  "functional": "GGA-PBE",
  "state": "optimized geometry",
  "magmom_total_mub_per_atom": 0.901,
  "total_energy_ev_per_cell": -32.92,
  "sg": "F-43m, No. 216",
  "lattice": [[0.000, 4.038, 4.038], [4.038, 0.000, 4.038], [4.038, 4.038, 0.000]],
  "species": ["Pu", "Bi", "Au", "Au", "Au", "Au"],
  "fractional_positions": [[0.000, 0.000, 0.000], [0.250, 0.250, 0.250], [0.124, 0.625, 0.625], [0.625, 0.124, 0.625], [0.625, 0.625, 0.124], [0.625, 0.625, 0.625]]
}

10.
{
  "formula": "Pu2BiAu",
  "functional": "GGA-PBE",
  "state": "optimized geometry",
  "magmom_total_mub_per_atom": 2.896,
  "sg": "P4/mmm, No. 123",
  "relative_energy_ev_per_atom": 0.010,
  "lattice": [[4.974, 0.000, 0.000], [0.000, 4.974, 0.000], [0.000, 0.000, 4.246]],
  "species": ["Pu", "Pu", "Bi", "Au"],
  "fractional_positions": [[0.000, 0.500, 0.000], [0.500, 0.000, 0.000], [0.000, 0.000, 0.500], [0.500, 0.500, 0.500]]
}

11.
{
  "formula": "PuBiAu2",
  "functional": "GGA-PBE",
  "state": "optimized geometry",
  "magmom_total_mub_per_atom": 1.345,
  "total_energy_ev_per_cell": -51.65,
  "sg": "Cmcm, No. 63",
  "lattice": [[2.370, -6.428, 0.000], [2.370, 6.428, 0.000], [0.000, 0.000, 6.671]],
  "species": ["Pu", "Pu", "Bi", "Bi", "Au", "Au", "Au", "Au"],
  "fractional_positions": [[0.209, 0.791, 0.750], [0.791, 0.209, 0.250], [0.072, 0.928, 0.250], [0.928, 0.072, 0.750], [0.391, 0.609, 0.035], [0.391, 0.609, 0.465], [0.609, 0.391, 0.535], [0.609, 0.391, 0.965]]
}

12.
{
  "formula": "Pu4BiAu3",
  "functional": "GGA-PBE",
  "state": "optimized geometry",
  "magmom_total_mub_per_atom": 2.975,
  "total_energy_ev_per_cell": -73.92,
  "sg": "Pmmm, No. 47",
  "lattice": [[3.279, 0.000, 0.000], [0.000, 5.558, 0.000], [0.000, 0.000, 11.038]],
  "species": ["Pu", "Pu", "Pu", "Pu", "Bi", "Au", "Au", "Au"],
  "fractional_positions": [[0.000, 0.000, 0.000], [0.000, 0.000, 0.500], [0.000, 0.500, 0.237], [0.000, 0.500, 0.763], [0.500, 0.500, 0.500], [0.500, 0.000, 0.249], [0.500, 0.000, 0.751], [0.500, 0.500, 0.000]]
}